An optimized crystal structure of Li2Pm2PaS6, computed with PBE.

Summary:
uncorrected formation energy = -1.724 eV/atom

a = 6.998 Å, b = 6.998 Å, c = 6.543 Å
α = 99.54°, β = 99.54°, γ = 119.81°
Each line ends with the local moment (μB).
Atoms (fractional coordinates):
Li1 0.843 0.157 0.000  0.00
Li2 0.157 0.843 0.000  0.00
Pm1 0.335 0.665 0.500  0.05
Pm2 0.665 0.335 0.500  0.05
Pa1 0.000 0.000 0.500  0.78
S1 0.763 0.763 0.748  -0.01
S2 0.069 0.396 0.746  -0.01
S3 0.237 0.237 0.252  -0.01
S4 0.396 0.069 0.746  -0.01
S5 0.931 0.604 0.254  -0.01
S6 0.604 0.931 0.254  -0.01



An optimized crystal structure of Li3Pm2PaS6, computed with PBE.

Summary:
uncorrected formation energy = -1.673 eV/atom

a = 6.857 Å, b = 6.857 Å, c = 6.630 Å
α = 99.92°, β = 99.92°, γ = 120.03°
Each line ends with the local moment (μB).
Atoms (fractional coordinates):
Li1 0.164 0.836 0.500  0.00
Li2 0.836 0.164 0.500  0.00
Li3 0.500 0.500 0.500  0.00
Pm1 0.333 0.667 0.000  0.07
Pm2 0.667 0.333 0.000  0.07
Pa1 0.000 0.000 0.000  0.68
S1 0.913 0.593 0.740  -0.01
S2 0.764 0.764 0.256  -0.01
S3 0.087 0.407 0.260  -0.01
S4 0.593 0.913 0.740  -0.01
S5 0.236 0.236 0.744  -0.01
S6 0.407 0.087 0.260  -0.01



An optimized crystal structure of LiPm2PaSb4, computed with PBE.

Summary:
uncorrected formation energy = -0.746 eV/atom

a = 4.454 Å, b = 7.529 Å, c = 7.680 Å
α = 109.11°, β = 90.00°, γ = 90.00°
Atoms (fractional coordinates):
Li1 0.500 0.500 0.000
Pm1 0.500 0.000 0.500
Pm2 0.000 0.500 0.500
Pa1 0.000 0.000 0.000
Sb1 0.500 0.248 0.236
Sb2 0.500 0.752 0.764
Sb3 0.000 0.250 0.763
Sb4 0.000 0.750 0.237



An optimized crystal structure of LiPmPaSe4, computed with PBE.

Summary:
uncorrected formation energy = -1.516 eV/atom

a = 8.388 Å, b = 8.408 Å, c = 8.425 Å
α = 120.07°, β = 90.00°, γ = 119.92°
Each line ends with the local moment (μB).
Atoms (fractional coordinates):
Li1 0.880 0.760 0.130  0.00
Li2 0.120 0.240 0.870  0.00
Pm1 0.500 0.000 0.500  0.03
Pm2 0.500 0.000 0.000  0.03
Pa1 0.500 0.500 0.500  0.95
Pa2 0.000 0.500 0.500  0.95
Se1 0.749 0.497 0.733  -0.02
Se2 0.266 0.022 0.261  -0.01
Se3 0.756 0.022 0.261  -0.01
Se4 0.749 0.497 0.264  -0.02
Se5 0.251 0.503 0.736  -0.02
Se6 0.734 0.978 0.739  -0.01
Se7 0.244 0.978 0.739  -0.01
Se8 0.251 0.503 0.267  -0.02



An optimized crystal structure of LiPmPa2Se4, computed with PBE.

Summary:
uncorrected formation energy = -1.386 eV/atom

a = 3.968 Å, b = 6.851 Å, c = 7.429 Å
α = 107.94°, β = 90.00°, γ = 90.00°
Each line ends with the local moment (μB).
Atoms (fractional coordinates):
Li1 0.500 0.500 0.000  0.00
Pm1 0.000 0.000 0.000  -0.01
Pa1 0.500 0.000 0.500  1.18
Pa2 0.000 0.500 0.500  0.79
Se1 0.500 0.262 0.244  -0.01
Se2 0.500 0.738 0.756  -0.01
Se3 0.000 0.264 0.761  -0.01
Se4 0.000 0.736 0.239  -0.01



An optimized crystal structure of LiPm2PaSe4, computed with PBE.

Summary:
uncorrected formation energy = -1.584 eV/atom

a = 4.081 Å, b = 7.180 Å, c = 7.089 Å
α = 108.98°, β = 90.00°, γ = 90.00°
Each line ends with the local moment (μB).
Atoms (fractional coordinates):
Li1 0.000 0.000 0.000  0.00
Pm1 0.500 0.000 0.500  0.00
Pm2 0.000 0.500 0.500  0.03
Pa1 0.500 0.500 0.000  0.76
Se1 0.500 0.240 0.233  -0.01
Se2 0.500 0.760 0.767  -0.01
Se3 0.000 0.246 0.764  -0.01
Se4 0.000 0.754 0.236  -0.01



An optimized crystal structure of LiPm3Pa3Se8, computed with PBE.

Summary:
uncorrected formation energy = -1.529 eV/atom

a = 8.150 Å, b = 8.150 Å, c = 8.307 Å
α = 119.38°, β = 90.00°, γ = 120.00°
Each line ends with the local moment (μB).
Atoms (fractional coordinates):
Li1 0.000 0.000 0.500  0.00
Pm1 0.000 0.000 0.000  -0.01
Pm2 0.000 0.500 0.000  -0.01
Pm3 0.500 0.500 0.000  -0.01
Pa1 0.500 0.000 0.500  1.01
Pa2 0.500 0.500 0.500  1.01
Pa3 0.000 0.500 0.500  1.01
Se1 0.251 0.503 0.254  -0.01
Se2 0.749 0.497 0.746  -0.01
Se3 0.754 0.508 0.260  -0.01
Se4 0.246 0.492 0.740  -0.01
Se5 0.754 0.006 0.260  -0.01
Se6 0.246 0.994 0.740  -0.01
Se7 0.252 0.006 0.260  -0.01
Se8 0.748 0.994 0.740  -0.01



An optimized crystal structure of Li3Pm3PaSe8, computed with PBE.

Summary:
uncorrected formation energy = -1.600 eV/atom

a = 8.381 Å, b = 8.380 Å, c = 8.101 Å
α = 121.17°, β = 90.00°, γ = 120.00°
Each line ends with the local moment (μB).
Atoms (fractional coordinates):
Li1 0.000 0.000 0.000  0.00
Li2 0.000 0.500 0.000  0.00
Li3 0.500 0.500 0.000  0.00
Pm1 0.500 0.000 0.500  0.02
Pm2 0.500 0.500 0.500  0.02
Pm3 0.000 0.500 0.500  0.02
Pa1 0.000 0.000 0.500  0.84
Se1 0.247 0.494 0.241  0.00
Se2 0.753 0.506 0.759  0.00
Se3 0.755 0.510 0.249  -0.01
Se4 0.245 0.490 0.751  -0.01
Se5 0.755 0.994 0.249  -0.01
Se6 0.245 0.006 0.751  -0.01
Se7 0.239 0.994 0.249  -0.01
Se8 0.761 0.006 0.751  -0.01



An optimized crystal structure of Li2PmPaSe4, computed with PBE.

Summary:
uncorrected formation energy = -1.456 eV/atom

a = 4.062 Å, b = 7.118 Å, c = 7.000 Å
α = 109.60°, β = 90.00°, γ = 90.00°
Each line ends with the local moment (μB).
Atoms (fractional coordinates):
Li1 0.500 0.000 0.500  0.00
Li2 0.000 0.500 0.500  0.00
Pm1 0.000 0.000 0.000  0.13
Pa1 0.500 0.500 0.000  1.28
Se1 0.500 0.262 0.262  -0.01
Se2 0.500 0.738 0.738  -0.01
Se3 0.000 0.250 0.738  -0.02
Se4 0.000 0.750 0.262  -0.02



An optimized crystal structure of Li4Pm3PaSe8, computed with PBE.

Summary:
uncorrected formation energy = -1.559 eV/atom

a = 8.277 Å, b = 8.103 Å, c = 8.275 Å
α = 120.74°, β = 120.01°, γ = 90.00°
Each line ends with the local moment (μB).
Atoms (fractional coordinates):
Li1 0.500 0.000 0.000  0.00
Li2 0.500 0.000 0.500  0.00
Li3 0.000 0.000 0.000  0.00
Li4 0.000 0.000 0.500  0.00
Pm1 0.500 0.500 0.000  0.07
Pm2 0.500 0.500 0.500  0.07
Pm3 0.000 0.500 0.500  0.07
Pa1 0.000 0.500 0.000  1.18
Se1 0.250 0.760 0.010  -0.01
Se2 0.250 0.760 0.500  -0.01
Se3 0.246 0.238 0.492  0.00
Se4 0.760 0.760 0.010  -0.01
Se5 0.240 0.240 0.990  -0.01
Se6 0.754 0.762 0.508  0.00
Se7 0.750 0.240 0.500  -0.01
Se8 0.750 0.240 0.990  -0.01



An optimized crystal structure of LiPmPaTc, computed with PBE.

Summary:
energy of formation from the pure elements = 0.147 eV per atom

a = 4.963 Å, b = 4.963 Å, c = 4.963 Å
α = 60.00°, β = 60.00°, γ = 60.00°
Atoms (fractional coordinates):
Pa1 0.750 0.750 0.750
Li1 0.000 0.000 0.000
Tc1 0.500 0.500 0.500
Pm1 0.250 0.250 0.250



An optimized crystal structure of LiPm2PaTe5, computed with PBE.

Summary:
uncorrected formation energy = -1.108 eV/atom

a = 4.342 Å, b = 9.600 Å, c = 13.392 Å
α = 90.00°, β = 90.00°, γ = 103.07°
Each line ends with the local moment (μB).
Atoms (fractional coordinates):
Li1 0.557 0.113 0.957  0.00
Li2 0.443 0.887 0.457  0.00
Pm1 0.871 0.742 0.801  0.03
Pm2 0.107 0.214 0.687  0.02
Pm3 0.129 0.258 0.301  0.03
Pm4 0.893 0.786 0.187  0.02
Pa1 0.799 0.599 0.510  1.13
Pa2 0.201 0.401 0.010  1.13
Te1 0.366 0.732 0.001  -0.01
Te2 0.687 0.373 0.845  -0.02
Te3 0.496 0.993 0.780  -0.01
Te4 0.284 0.568 0.672  -0.02
Te5 0.952 0.903 0.570  -0.02
Te6 0.634 0.268 0.501  -0.01
Te7 0.313 0.627 0.345  -0.02
Te8 0.504 0.007 0.280  -0.01
Te9 0.716 0.432 0.172  -0.02
Te10 0.048 0.097 0.070  -0.02



> Number 9 is which compound?

Li2PmPaSe4